(1)
# Rb2CdSb

Rb2CdSb after structural relaxation (GGA-PBE, Alexandria).

## Properties
Formation energy (no corrections) ... -0.2470 eV/atom
SG ... Cmcm
Energy above the lowest structure with this stoichiometry ... 16 meV/atom

a = 11.2329 Å, b = 9.2546 Å, c = 6.3858 Å
α = 90.00°, β = 90.00°, γ = 90.00°
Fractional coordinates of all 16 atoms:
Rb: 0.1728 0.1455 0.2500
Rb: 0.1728 0.8545 0.7500
Rb: 0.3272 0.3545 0.7500
Rb: 0.3272 0.6455 0.2500
Rb: 0.6728 0.3545 0.7500
Rb: 0.6728 0.6455 0.2500
Rb: 0.8272 0.1455 0.2500
Rb: 0.8272 0.8545 0.7500
Cd: 0.0000 0.5000 0.0000
Cd: 0.0000 0.5000 0.5000
Cd: 0.5000 0.0000 0.0000
Cd: 0.5000 0.0000 0.5000
Sb: 0.0000 0.2319 0.7500
Sb: 0.0000 0.7681 0.2500
Sb: 0.5000 0.2681 0.2500
Sb: 0.5000 0.7319 0.7500

(2)
# Rb2CdSb2

Rb2CdSb2 after structural relaxation (GGA-PBE, Alexandria).

## Properties
Formation energy (no corrections) ... 0.0728 eV/atom
SG ... P4/mbm
Energy above the lowest structure with this stoichiometry ... 429 meV/atom

a = 11.4444 Å, b = 11.4444 Å, c = 3.1587 Å
α = 90.00°, β = 90.00°, γ = 90.00°
Fractional coordinates of all 10 atoms:
Rb: 0.1330 0.3670 0.0000
Rb: 0.3670 0.8670 0.0000
Rb: 0.6330 0.1330 0.0000
Rb: 0.8670 0.6330 0.0000
Cd: 0.0000 0.0000 0.0000
Cd: 0.5000 0.5000 0.0000
Sb: 0.1643 0.6643 0.5000
Sb: 0.3357 0.1643 0.5000
Sb: 0.6643 0.8357 0.5000
Sb: 0.8357 0.3357 0.5000

(3)
# RbCd3Sb

RbCd3Sb after structural relaxation (GGA-PBE, Alexandria).

## Properties
Formation energy (no corrections) ... 0.1454 eV/atom
SG ... Pm-3m
Energy above the lowest structure with this stoichiometry ... 0 meV/atom

a = 5.8538 Å, b = 5.8538 Å, c = 5.8538 Å
α = 90.00°, β = 90.00°, γ = 90.00°
Fractional coordinates of all 5 atoms:
Rb: 0.0000 0.0000 0.0000
Cd: 0.0000 0.5000 0.5000
Cd: 0.5000 0.0000 0.5000
Cd: 0.5000 0.5000 0.0000
Sb: 0.5000 0.5000 0.5000

(4)
# Rb12Cd5Sb3

Rb12Cd5Sb3 after structural relaxation (GGA-PBE, Alexandria).

## Properties
Formation energy (no corrections) ... -0.0070 eV/atom
SG ... Ia-3d

a = 18.6058 Å, b = 18.6058 Å, c = 18.6058 Å
α = 109.47°, β = 109.47°, γ = 109.47°
Fractional coordinates of all 80 atoms:
Rb: 0.0668 0.2361 0.1413
Rb: 0.0668 0.3307 0.9255
Rb: 0.0745 0.6413 0.4051
Rb: 0.0745 0.9332 0.6693
Rb: 0.0949 0.7361 0.6693
Rb: 0.0949 0.8587 0.4255
Rb: 0.1413 0.0668 0.2361
Rb: 0.1413 0.5745 0.9051
Rb: 0.1693 0.2361 0.5949
Rb: 0.1693 0.4332 0.5745
Rb: 0.2361 0.1413 0.0668
Rb: 0.2361 0.5949 0.1693
Rb: 0.2639 0.3307 0.9051
Rb: 0.2639 0.4332 0.3587
Rb: 0.3307 0.9051 0.2639
Rb: 0.3307 0.9255 0.0668
Rb: 0.3587 0.2639 0.4332
Rb: 0.3587 0.5949 0.9255
Rb: 0.4051 0.0745 0.6413
Rb: 0.4051 0.8307 0.7639
Rb: 0.4255 0.0949 0.8587
Rb: 0.4255 0.8307 0.5668
Rb: 0.4332 0.3587 0.2639
Rb: 0.4332 0.5745 0.1693
Rb: 0.5668 0.4255 0.8307
Rb: 0.5668 0.6413 0.7361
Rb: 0.5745 0.1693 0.4332
Rb: 0.5745 0.9051 0.1413
Rb: 0.5949 0.1693 0.2361
Rb: 0.5949 0.9255 0.3587
Rb: 0.6413 0.4051 0.0745
Rb: 0.6413 0.7361 0.5668
Rb: 0.6693 0.0745 0.9332
Rb: 0.6693 0.0949 0.7361
Rb: 0.7361 0.5668 0.6413
Rb: 0.7361 0.6693 0.0949
Rb: 0.7639 0.4051 0.8307
Rb: 0.7639 0.8587 0.9332
Rb: 0.8307 0.5668 0.4255
Rb: 0.8307 0.7639 0.4051
Rb: 0.8587 0.4255 0.0949
Rb: 0.8587 0.9332 0.7639
Rb: 0.9051 0.1413 0.5745
Rb: 0.9051 0.2639 0.3307
Rb: 0.9255 0.0668 0.3307
Rb: 0.9255 0.3587 0.5949
Rb: 0.9332 0.6693 0.0745
Rb: 0.9332 0.7639 0.8587
Cd: 0.0000 0.0000 0.0000
Cd: 0.0000 0.0000 0.5000
Cd: 0.0000 0.5000 0.0000
Cd: 0.0000 0.5000 0.5000
Cd: 0.1250 0.7500 0.8750
Cd: 0.1250 0.8750 0.2500
Cd: 0.2500 0.1250 0.8750
Cd: 0.2500 0.6250 0.3750
Cd: 0.3750 0.2500 0.6250
Cd: 0.3750 0.6250 0.7500
Cd: 0.5000 0.0000 0.0000
Cd: 0.5000 0.0000 0.5000
Cd: 0.5000 0.5000 0.0000
Cd: 0.5000 0.5000 0.5000
Cd: 0.6250 0.3750 0.2500
Cd: 0.6250 0.7500 0.3750
Cd: 0.7500 0.3750 0.6250
Cd: 0.7500 0.8750 0.1250
Cd: 0.8750 0.1250 0.7500
Cd: 0.8750 0.2500 0.1250
Sb: 0.1250 0.2500 0.3750
Sb: 0.1250 0.3750 0.7500
Sb: 0.2500 0.3750 0.1250
Sb: 0.2500 0.8750 0.6250
Sb: 0.3750 0.1250 0.2500
Sb: 0.3750 0.7500 0.1250
Sb: 0.6250 0.2500 0.8750
Sb: 0.6250 0.8750 0.7500
Sb: 0.7500 0.1250 0.3750
Sb: 0.7500 0.6250 0.8750
Sb: 0.8750 0.6250 0.2500
Sb: 0.8750 0.7500 0.6250

(5)
# RbCd3Sb

RbCd3Sb after structural relaxation (GGA-PBE, Alexandria).

## Properties
Formation energy (no corrections) ... 0.8181 eV/atom
SG ... Pm-3m
Energy above the lowest structure with this stoichiometry ... 673 meV/atom

a = 6.6782 Å, b = 6.6782 Å, c = 6.6782 Å
α = 90.00°, β = 90.00°, γ = 90.00°
Fractional coordinates of all 5 atoms:
Rb: 0.0000 0.0000 0.0000
Cd: 0.0000 0.0000 0.5000
Cd: 0.0000 0.5000 0.0000
Cd: 0.5000 0.0000 0.0000
Sb: 0.5000 0.5000 0.5000

(6)
# Rb2Cd5Sb4

Rb2Cd5Sb4 after structural relaxation (GGA-PBE, Alexandria).

## Properties
Formation energy (no corrections) ... -0.1036 eV/atom
SG ... Fmmm

a = 10.8495 Å, b = 8.6287 Å, c = 8.0485 Å
α = 81.09°, β = 51.79°, γ = 47.13°
Fractional coordinates of all 11 atoms:
Rb: 0.1610 0.1610 0.8390
Rb: 0.8390 0.8390 0.1610
Cd: 0.0000 0.0000 0.5000
Cd: 0.2500 0.2500 0.2500
Cd: 0.5000 0.5000 0.0000
Cd: 0.5000 0.5000 0.5000
Cd: 0.7500 0.7500 0.7500
Sb: 0.2280 0.5180 0.4820
Sb: 0.4820 0.7720 0.2280
Sb: 0.5180 0.2280 0.7720
Sb: 0.7720 0.4820 0.5180

(7)
# RbCdSb3

RbCdSb3 after structural relaxation (GGA-PBE, Alexandria).

## Properties
Formation energy (no corrections) ... 0.2826 eV/atom
SG ... Pm-3m
Energy above the lowest structure with this stoichiometry ... 0 meV/atom

a = 5.7031 Å, b = 5.7031 Å, c = 5.7031 Å
α = 90.00°, β = 90.00°, γ = 90.00°
Fractional coordinates of all 5 atoms:
Rb: 0.0000 0.0000 0.0000
Cd: 0.5000 0.5000 0.5000
Sb: 0.0000 0.5000 0.5000
Sb: 0.5000 0.0000 0.5000
Sb: 0.5000 0.5000 0.0000

(8)
# RbCdSb2

RbCdSb2 after structural relaxation (GGA-PBE, Alexandria).

## Properties
Formation energy (no corrections) ... -0.0992 eV/atom
SG ... I-42d

a = 5.7643 Å, b = 5.7643 Å, c = 19.5124 Å
α = 90.00°, β = 90.00°, γ = 90.00°
Fractional coordinates of all 16 atoms:
Rb: 0.0000 0.0000 0.0000
Rb: 0.0000 0.5000 0.2500
Rb: 0.5000 0.0000 0.7500
Rb: 0.5000 0.5000 0.5000
Cd: 0.0000 0.0000 0.5000
Cd: 0.0000 0.5000 0.7500
Cd: 0.5000 0.0000 0.2500
Cd: 0.5000 0.5000 0.0000
Sb: 0.1121 0.2500 0.6250
Sb: 0.2500 0.6121 0.8750
Sb: 0.2500 0.8879 0.3750
Sb: 0.3879 0.2500 0.1250
Sb: 0.6121 0.7500 0.1250
Sb: 0.7500 0.1121 0.3750
Sb: 0.7500 0.3879 0.8750
Sb: 0.8879 0.7500 0.6250

(9)
# RbCd12Sb7

RbCd12Sb7 after structural relaxation (GGA-PBE, Alexandria).

## Properties
Formation energy (no corrections) ... 0.0527 eV/atom
SG ... R-3

a = 10.7435 Å, b = 10.7435 Å, c = 10.7435 Å
α = 115.83°, β = 115.83°, γ = 115.83°
Fractional coordinates of all 20 atoms:
Rb: 0.0000 0.0000 0.0000
Cd: 0.0532 0.9140 0.6413
Cd: 0.0860 0.3587 0.9468
Cd: 0.2050 0.4860 0.4910
Cd: 0.3587 0.9468 0.0860
Cd: 0.4860 0.4910 0.2050
Cd: 0.4910 0.2050 0.4860
Cd: 0.5090 0.7950 0.5140
Cd: 0.5140 0.5090 0.7950
Cd: 0.6413 0.0532 0.9140
Cd: 0.7950 0.5140 0.5090
Cd: 0.9140 0.6413 0.0532
Cd: 0.9468 0.0860 0.3587
Sb: 0.0400 0.5005 0.2072
Sb: 0.2072 0.0400 0.5005
Sb: 0.5005 0.2072 0.0400
Sb: 0.5000 0.5000 0.5000
Sb: 0.4995 0.7928 0.9600
Sb: 0.7928 0.9600 0.4995
Sb: 0.9600 0.4995 0.7928

(10)
# RbCd2Sb2

RbCd2Sb2 after structural relaxation (GGA-PBE, Alexandria).

## Properties
Formation energy (no corrections) ... -0.0818 eV/atom
SG ... P4/mbm
Energy above the lowest structure with this stoichiometry ... 187 meV/atom

a = 9.1231 Å, b = 9.1231 Å, c = 3.5250 Å
α = 90.00°, β = 90.00°, γ = 90.00°
Fractional coordinates of all 10 atoms:
Rb: 0.0000 0.0000 0.0000
Rb: 0.5000 0.5000 0.0000
Cd: 0.1263 0.3737 0.0000
Cd: 0.3737 0.8737 0.0000
Cd: 0.6263 0.1263 0.0000
Cd: 0.8737 0.6263 0.0000
Sb: 0.1648 0.6648 0.5000
Sb: 0.3352 0.1648 0.5000
Sb: 0.6648 0.8352 0.5000
Sb: 0.8352 0.3352 0.5000

(11)
# Rb2CdSb2

Rb2CdSb2 after structural relaxation (GGA-PBE, Alexandria).

## Properties
Formation energy (no corrections) ... -0.3562 eV/atom
SG ... C2/m
Energy above the lowest structure with this stoichiometry ... 0 meV/atom

a = 6.8714 Å, b = 6.8714 Å, c = 12.3747 Å
α = 116.52°, β = 116.52°, γ = 47.10°
Fractional coordinates of all 10 atoms:
Rb: 0.0831 0.0831 0.3942
Rb: 0.3243 0.3243 0.8097
Rb: 0.6757 0.6757 0.1903
Rb: 0.9169 0.9169 0.6058
Cd: 0.3570 0.3570 0.1448
Cd: 0.6430 0.6430 0.8552
Sb: 0.0912 0.0912 0.9540
Sb: 0.3800 0.3800 0.3902
Sb: 0.6200 0.6200 0.6098
Sb: 0.9088 0.9088 0.0460

(12)
# RbCdSb

RbCdSb after structural relaxation (GGA-PBE, Alexandria).

## Properties
Formation energy (no corrections) ... -0.3881 eV/atom
SG ... P-6m2

a = 4.8845 Å, b = 4.8845 Å, c = 5.6850 Å
α = 90.00°, β = 90.00°, γ = 120.00°
Fractional coordinates of all 3 atoms:
Rb: 0.0000 0.0000 0.0000
Cd: 0.3333 0.6667 0.5000
Sb: 0.6667 0.3333 0.5000

(13)
# Rb3Cd5Sb2

Rb3Cd5Sb2 after structural relaxation (GGA-PBE, Alexandria).

## Properties
Formation energy (no corrections) ... -0.1922 eV/atom
SG ... Ibam

a = 10.7749 Å, b = 10.7749 Å, c = 10.7749 Å
α = 113.61°, β = 79.73°, γ = 141.06°
Fractional coordinates of all 20 atoms:
Rb: 0.1333 0.7312 0.8645
Rb: 0.2500 0.2500 0.0000
Rb: 0.3667 0.2312 0.5979
Rb: 0.6333 0.7688 0.4021
Rb: 0.7500 0.7500 0.0000
Rb: 0.8667 0.2688 0.1355
Cd: 0.0104 0.2500 0.7604
Cd: 0.1311 0.4002 0.5313
Cd: 0.2500 0.7500 0.5000
Cd: 0.3689 0.9002 0.2692
Cd: 0.4896 0.2500 0.2396
Cd: 0.5104 0.7500 0.7604
Cd: 0.6311 0.0998 0.7308
Cd: 0.7500 0.2500 0.5000
Cd: 0.8689 0.5998 0.4687
Cd: 0.9896 0.7500 0.2396
Sb: 0.1512 0.1535 0.3047
Sb: 0.3488 0.6535 0.0023
Sb: 0.6512 0.3465 0.9977
Sb: 0.8488 0.8465 0.6953

(14)
# RbCd6Sb2

RbCd6Sb2 after structural relaxation (GGA-PBE, Alexandria).

## Properties
Formation energy (no corrections) ... -0.1041 eV/atom
SG ... P4/mmm

a = 4.5879 Å, b = 4.5879 Å, c = 12.0102 Å
α = 90.00°, β = 90.00°, γ = 90.00°
Fractional coordinates of all 9 atoms:
Rb: 0.0000 0.0000 0.0000
Cd: 0.0000 0.0000 0.5000
Cd: 0.0000 0.5000 0.3166
Cd: 0.0000 0.5000 0.6834
Cd: 0.5000 0.0000 0.3166
Cd: 0.5000 0.0000 0.6834
Cd: 0.5000 0.5000 0.5000
Sb: 0.5000 0.5000 0.1638
Sb: 0.5000 0.5000 0.8362

(15)
# Rb2CdSiSb

Rb2CdSiSb after structural relaxation (GGA-PBE, Alexandria).

## Properties
Formation energy (no corrections) ... 0.1707 eV/atom
SG ... P4/mmm

a = 6.8082 Å, b = 6.8082 Å, c = 5.1665 Å
α = 90.00°, β = 90.00°, γ = 90.00°
Fractional coordinates of all 5 atoms:
Rb: 0.0000 0.5000 0.0000
Rb: 0.5000 0.0000 0.0000
Cd: 0.0000 0.0000 0.5000
Si: 0.5000 0.5000 0.0000
Sb: 0.5000 0.5000 0.5000

(16)
# Rb3Cd2Sn2Sb4

Rb3Cd2Sn2Sb4 after structural relaxation (GGA-PBE, Alexandria).

## Properties
Formation energy (no corrections) ... -0.2792 eV/atom
SG ... P-3m1

a = 5.0698 Å, b = 5.0698 Å, c = 19.4717 Å
α = 90.00°, β = 90.00°, γ = 120.00°
Fractional coordinates of all 11 atoms:
Rb: 0.0000 0.0000 0.0000
Rb: 0.0000 0.0000 0.2776
Rb: 0.0000 0.0000 0.7224
Cd: 0.3333 0.6667 0.1393
Cd: 0.6667 0.3333 0.8607
Sn: 0.3333 0.6667 0.5579
Sn: 0.6667 0.3333 0.4421
Sb: 0.3333 0.6667 0.4053
Sb: 0.3333 0.6667 0.8596
Sb: 0.6667 0.3333 0.1404
Sb: 0.6667 0.3333 0.5947

(17)
# Rb2Cd4Sn3Sb

Rb2Cd4Sn3Sb after structural relaxation (GGA-PBE, Alexandria).

## Properties
Formation energy (no corrections) ... -0.1558 eV/atom
SG ... P-4m2

a = 4.9366 Å, b = 4.9366 Å, c = 12.7773 Å
α = 90.00°, β = 90.00°, γ = 90.00°
Fractional coordinates of all 10 atoms:
Rb: 0.0000 0.5000 0.2472
Rb: 0.5000 0.0000 0.7528
Cd: 0.0000 0.0000 0.0000
Cd: 0.0000 0.5000 0.6444
Cd: 0.5000 0.0000 0.3556
Cd: 0.5000 0.5000 0.0000
Sn: 0.0000 0.5000 0.8695
Sn: 0.5000 0.0000 0.1305
Sn: 0.5000 0.5000 0.5000
Sb: 0.0000 0.0000 0.5000

(18)
# RbCdSb2Te

RbCdSb2Te after structural relaxation (GGA-PBE, Alexandria).

## Properties
Formation energy (no corrections) ... 0.1560 eV/atom
SG ... P4/mmm
Energy above the lowest structure with this stoichiometry ... 0 meV/atom

a = 5.6247 Å, b = 5.6247 Å, c = 5.9715 Å
α = 90.00°, β = 90.00°, γ = 90.00°
Fractional coordinates of all 5 atoms:
Rb: 0.0000 0.0000 0.0000
Cd: 0.5000 0.5000 0.5000
Sb: 0.0000 0.5000 0.5000
Sb: 0.5000 0.0000 0.5000
Te: 0.5000 0.5000 0.0000

(19)
# RbCdSb2Te

RbCdSb2Te after structural relaxation (GGA-PBE, Alexandria).

## Properties
Formation energy (no corrections) ... 1.1782 eV/atom
SG ... P4/mmm
Energy above the lowest structure with this stoichiometry ... 1022 meV/atom

a = 6.1773 Å, b = 6.1773 Å, c = 6.2140 Å
α = 90.00°, β = 90.00°, γ = 90.00°
Fractional coordinates of all 5 atoms:
Rb: 0.0000 0.0000 0.0000
Cd: 0.5000 0.5000 0.5000
Sb: 0.0000 0.5000 0.0000
Sb: 0.5000 0.0000 0.0000
Te: 0.0000 0.0000 0.5000

(20)
# RbTl2Cd2Sb2

RbTl2Cd2Sb2 after structural relaxation (GGA-PBE, Alexandria).

## Properties
Formation energy (no corrections) ... -0.1431 eV/atom
SG ... R-3m

a = 12.1675 Å, b = 12.1675 Å, c = 12.1675 Å
α = 23.07°, β = 23.07°, γ = 23.07°
Fractional coordinates of all 7 atoms:
Rb: 0.0000 0.0000 0.0000
Tl: 0.1420 0.1420 0.1420
Tl: 0.8580 0.8580 0.8580
Cd: 0.4223 0.4223 0.4223
Cd: 0.5777 0.5777 0.5777
Sb: 0.2599 0.2599 0.2599
Sb: 0.7401 0.7401 0.7401

no.,density (g/cm3)
1,4.05
2,4.23
3,4.51
4,2.62
5,3.04
6,5.26
7,5.04
8,4.52
9,5.95
10,6.27
11,4.68
12,4.52
13,5.03
14,6.59
15,3.00
16,4.62
17,5.86
18,5.00
19,3.98
20,6.58